First-principles (PBE-GGA) data for a relaxed YWN3 crystal, as listed in Alexandria via LeMat-Bulk.

a b c (Å): 3.511 6.378 6.867
angles (deg): 110.52 99.30 93.26
Space group P1 (No. 1)
Symmetry-distinct sites (fractional):
1 Y 0.000 0.000 0.000
2 Y 0.202 0.524 0.534
3 W 0.631 0.438 0.992
4 W 0.649 0.975 0.407
5 N 0.109 0.425 0.149
6 N 0.155 0.122 0.406
7 N 0.473 0.128 0.871
8 N 0.533 0.797 0.125
9 N 0.725 0.769 0.531
10 N 0.764 0.495 0.760

ΔE_f (raw) (eV per atom): -0.818
Total magnetic moment (μB per formula unit): 0.00